# 1
Here is a geometry-optimized VRe3Te structure from Alexandria via LeMat-Bulk. Energies are from PBE.

a b c (Å): 4.573 4.573 4.573
angles (deg): 90.00 90.00 90.00
Element x y z (fractional)
V  0.000  0.000  0.000
Re  0.000  0.000  0.500
Re  0.000  0.500  0.000
Re  0.500  0.000  0.000
Te  0.500  0.500  0.500

Calculated values
The calculation puts the formation energy without anion corrections at 1716 meV/atom. The mass density is 12.8 g cm⁻³. The polymorph energy (0 for the lowest one) comes out at 0.000 eV per atom.



# 2
Here is a geometry-optimized ZrReOsN2 structure from Alexandria via LeMat-Bulk. Energies are from PBE.

a b c (Å): 3.923 3.923 5.721
angles (deg): 90.00 90.00 90.00
Element x y z (fractional)
Zr  0.000  0.000  0.000
Re  0.500  0.500  0.500
Os  0.000  0.000  0.500
N  0.000  0.500  0.000
N  0.500  0.000  0.000

Calculated values
The calculation puts the formation energy without anion corrections at 1908 meV/atom. The mass density is 9.3 g cm⁻³.



# 3
Here is a geometry-optimized LaCeDy2 structure from Alexandria via LeMat-Bulk. Energies are from PBE.

a b c (Å): 3.575 3.575 10.096
angles (deg): 90.00 90.00 90.00
Element x y z (fractional)
La  0.000  0.000  0.000
Ce  0.000  0.000  0.500
Dy  0.500  0.500  0.264
Dy  0.500  0.500  0.736

Calculated values
The mass density is 7.8 g cm⁻³. The polymorph energy (0 for the lowest one) comes out at 0.002 eV per atom. The energy of formation comes out at 0.062 eV per atom.